# Pm4NdSc

An optimized crystal structure of Pm4NdSc (PBE-GGA, Alexandria).

Values from the calculation:
Calculated formation energy   0.122 eV per atom
Density of states at the Fermi level   11.7 states/eV per cell

a b c (Å): 6.2974 6.2974 5.9469
angles (deg): 90.01 90.01 56.35
Last column: nearest neighbours and their distance in Å.
Fractional positions:
Nd (0.5000, 0.5000, 0.5000)  10 Pm 3.46-3.78
Pm (0.1592, 0.1592, 0.5002)  2 Sc 3.46, 3 Nd 3.46-3.78, 5 Pm 3.54-3.59
Pm (0.3378, 0.3378, 0.0001)  2 Nd 3.48, 3 Sc 3.48-3.75, 5 Pm 3.56-3.60
Pm (0.6622, 0.6622, 0.9999)  2 Nd 3.48, 3 Sc 3.48-3.75, 5 Pm 3.56-3.60
Pm (0.8408, 0.8408, 0.4998)  2 Sc 3.46, 3 Nd 3.46-3.78, 5 Pm 3.54-3.59
Sc (0.0000, 0.0000, 0.0000)  10 Pm 3.46-3.75